! PBE+U Rb2AcMo3O12, relaxed; values from VASP
&SYSTEM
  ibrav = 0, nat = 18, ntyp = 4
/
ATOMIC_SPECIES
Rb 85.47 Rb.upf
O 16.00 O.upf
Mo 95.94 Mo.upf
Ac 227.00 Ac.upf
CELL_PARAMETERS angstrom
-4.6489 -4.7879 -3.6252
1.9802 -2.8200 -6.7679
1.8643 -7.3327 -0.6592
ATOMIC_POSITIONS angstrom
Rb -0.5034 -9.3506 -6.9171
Rb -0.3010 -5.5901 -4.1352
O -3.2054 -7.3287 -5.4747
O -1.6551 -9.7570 -9.6008
O -2.4066 -3.9110 -2.9348
O -1.7682 -5.9830 -7.4762
O 0.9087 -2.9268 -4.5065
O -1.7131 -12.0138 -6.5458
O 1.6022 -11.0296 -8.1175
O 0.8507 -5.1837 -1.4515
O 1.0380 -6.0689 -7.4865
O 0.9638 -8.9576 -3.5761
O 2.4011 -7.6120 -5.5776
O -1.8424 -8.8717 -3.5658
Mo 0.9901 -1.4100 -3.3840
Mo -2.3244 -2.3940 -1.8126
Mo 0.9321 -3.6663 -0.3296
Ac 0.0000 0.0000 0.0000
! Fermi-level density of states in states/eV/f.u.: 10.0
! Symmetry: R-3m, No. 166
! Uncorrected energy in eV per formula unit: -119.6